Entry 1:
Here is Mg2FePt after structural relaxation from Alexandria via LeMat-Bulk. Energies are from PBE.

Summary:
Its space group is No. 123. The density of states at the Fermi level is 1.759 states/eV/cell. As for the spin magnetization: 2.3 Bohr magnetons per cell. As for the energy of formation from the pure elements: -269 meV per atom.

a b c (Å): 2.924 2.924 7.379
angles (deg): 90.00 90.00 90.00
Sites, in units of the cell vectors:
1 Mg 0.000 0.000 0.243
2 Mg 0.000 0.000 0.757
3 Fe 0.500 0.500 0.500
4 Pt 0.500 0.500 0.000

=====

Entry 2:
Here is HfTl3H after structural relaxation from Alexandria via LeMat-Bulk. Energies are from PBE.

Summary:
The electronic total energy is -3.628 eV/atom. Its space group is No. 221. The density of states at the Fermi level is 2.326 states/eV/cell. As for the spin magnetization: 0.0 Bohr magnetons per cell.

a b c (Å): 4.700 4.700 4.700
angles (deg): 90.00 90.00 90.00
Sites, in units of the cell vectors:
1 Hf 0.000 0.000 0.000
2 Tl 0.000 0.500 0.500
3 Tl 0.500 0.000 0.500
4 Tl 0.500 0.500 0.000
5 H 0.500 0.500 0.500

=====

Entry 3:
Here is Rb2TeCI6 after structural relaxation from Alexandria via LeMat-Bulk. Energies are from PBE.

Summary:
As for the uncorrected formation energy: -1.3 eV/f.u. Its space group is No. 139. The density of states at the Fermi level is 1.982 states/eV/cell. As for the spin magnetization: 0.0 Bohr magnetons per cell.

a b c (Å): 8.183 8.183 8.183
angles (deg): 121.21 121.21 87.91
Sites, in units of the cell vectors:
1 Rb 0.250 0.750 0.500
2 Rb 0.750 0.250 0.500
3 Te 0.000 0.000 0.000
4 C 0.500 0.500 0.000
5 I 0.268 0.268 0.000
6 I 0.268 0.268 0.535
7 I 0.268 0.732 0.000
8 I 0.732 0.268 0.000
9 I 0.732 0.732 0.000
10 I 0.732 0.732 0.465

=====

Entry 4:
Here is TiNbFeOs after structural relaxation from Alexandria via LeMat-Bulk. Energies are from PBE.

Summary:
Its space group is No. 216. The density of states at the Fermi level is 2.600 states/eV/cell. As for the spin magnetization: 0.7 Bohr magnetons per cell. As for the energy of formation from the pure elements: -346 meV per atom.

a b c (Å): 4.384 4.384 4.384
angles (deg): 60.00 60.00 60.00
Sites, in units of the cell vectors:
1 Ti 0.000 0.000 0.000
2 Nb 0.500 0.500 0.500
3 Fe 0.750 0.750 0.750
4 Os 0.250 0.250 0.250

=====

Question: spin magnetization of number 3 (Rb2TeCI6)?
Answer: 0.0 Bohr magnetons per cell